No. 1
Crystalline SmGaNiPt3 at its relaxed geometry. Source: Alexandria via LeMat-Bulk, functional PBE.

Computed properties:
The final energy comes out at -5.82 eV per atom. For the formation energy, the calculation gives -0.549 eV/atom.

Unit cell a=5.630 b=6.646 c=6.739 alpha=119.54 beta=90.00 gamma=90.00
Positions (direct):
Ga: 0.250 0.363 0.725
Ga: 0.750 0.637 0.275
Pt: 0.500 0.710 0.000
Pt: 0.000 0.290 0.000
Pt: 0.500 0.290 0.000
Pt: 0.250 0.157 0.314
Pt: 0.000 0.710 0.000
Pt: 0.750 0.843 0.686
Ni: 0.750 0.065 0.129
Ni: 0.250 0.935 0.871
Sm: 0.750 0.286 0.572
Sm: 0.250 0.714 0.428


No. 2
Crystalline SmGa2Ni5Pt at its relaxed geometry. Source: Alexandria via LeMat-Bulk, functional PBE.

Computed properties:
The final energy comes out at -5.08 eV per atom. For the formation energy, the calculation gives -0.003 eV/atom.

Unit cell a=4.529 b=4.529 c=6.817 alpha=90.00 beta=90.00 gamma=90.00
Positions (direct):
Ni: 0.500 0.000 0.203
Ni: 0.000 0.500 0.797
Ni: 0.500 0.000 0.797
Ni: 0.000 0.500 0.203
Ni: 0.500 0.500 0.500
Pt: 0.000 0.000 0.000
Ga: 0.500 0.500 0.827
Ga: 0.500 0.500 0.173
Sm: 0.000 0.000 0.500


No. 3
Crystalline SmGaNi2Pt2 at its relaxed geometry. Source: Alexandria via LeMat-Bulk, functional PBE.

Computed properties:
The final energy comes out at -5.18 eV per atom. For the formation energy, the calculation gives 0.054 eV/atom.

Unit cell a=4.663 b=4.663 c=5.354 alpha=90.00 beta=90.00 gamma=90.00
Positions (direct):
Ni: 0.500 0.500 0.246
Ni: 0.500 0.500 0.754
Pt: 0.500 0.000 0.000
Pt: 0.000 0.500 0.000
Sm: 0.000 0.000 0.500
Ga: 0.000 0.000 0.000


| no. | magnetization (μB per cell) |
| --- | --- |
| 1 | 0.00 |
| 2 | 0.00 |
| 3 | 0.75 |